[1]
# LaNd3Tm

Crystalline LaNd3Tm at its relaxed geometry (PBE, Alexandria).

Computed properties:
**Excess energy over the best structure of this formula in the dataset**: 0 meV/atom
**N(E_F)**: 1.672 states/eV/atom
**Final energy**: -92.4 eV/cell
**Calculated formation energy**: 122.2 meV per atom

Cell: 11.858 7.162 8.752 Å, 90.00 109.73 90.00°
Space group C2/m (No. 12)
Symmetry-distinct sites (fractional):
1 La 0.056 0.000 0.221
2 Nd 0.154 0.250 0.615
3 Nd 0.249 0.500 0.001
4 Tm 0.057 0.500 0.227

[2]
# La7NdTm3

Crystalline La7NdTm3 at its relaxed geometry (PBE, Alexandria).

Computed properties:
**Excess energy over the best structure of this formula in the dataset**: 48 meV/atom
**N(E_F)**: 1.399 states/eV/atom
**Final energy**: -50.7 eV/cell
**Calculated formation energy**: 177.8 meV per atom

Cell: 7.2991 7.2991 8.6175 Å, 90.00 90.00 120.00°
Space group P3m1 (No. 156)
Symmetry-distinct sites (fractional):
1 La 0.0000 0.0000 0.0000
2 La 0.3388 0.1694 0.6641
3 La 0.5027 0.0054 0.0342
4 Nd 0.3333 0.6667 0.6942
5 Tm 0.1670 0.3339 0.3492

[3]
# La12NdTm6

Crystalline La12NdTm6 at its relaxed geometry (PBE, Alexandria).

Computed properties:
**N(E_F)**: 1.665 states/eV/atom
**Final energy**: -259.3 eV/cell
**Calculated formation energy**: 226.1 meV per atom

Cell: 14.9567 14.9567 10.5059 Å, 90.00 90.00 120.00°
Space group R-3 (No. 148, hexagonal axes)
Symmetry-distinct sites (fractional):
1 La 0.0501 0.7943 0.0820
2 La 0.0627 0.8428 0.4186
3 Nd 0.0000 0.0000 0.0000
4 Tm 0.0510 0.8369 0.7604